Compound: HfTiB
Source: Alexandria via LeMat-Bulk
Functional: PBE
Structure: relaxed

Formation energy, eV/f.u.: -0.01
Magnetization, μB per formula unit: 0.00
Distance to the lowest polymorph of the same formula, meV/atom: 0
Theoretical density, g/cm³: 8.695

a = 3.198 Å, b = 10.877 Å, c = 5.208 Å
α = 90.00°, β = 90.00°, γ = 90.00°
Space group Cmcm (No. 63)
Asymmetric unit:
Hf 0.000 0.178 0.250 (multiplicity 4)
Ti 0.000 0.082 0.750 (multiplicity 4)
B 0.000 0.500 0.000 (multiplicity 4)